Below is NiGeSe after structural relaxation, with properties calculated at the PBE level.

For the magnetization, the calculation gives 0.000 μB/atom. The calculation puts the uncorrected formation energy at -0.18 eV per atom. Its total energy is -14.44 eV per formula unit.

The space group is P1 (No. 1) and the conventional cell measures 3.8642, 5.7639 and 5.8426 Å, with angles of 68.29, 70.73 and 70.49 degrees. Symmetry generates all atoms from Ni at (0.0000, 0.0000, 0.0000), Ni at (0.1241, 0.5206, 0.2303), Ge at (0.1638, 0.1215, 0.5505), Ge at (0.6291, 0.7323, 0.0085), Se at (0.3921, 0.2779, 0.9389) and Se at (0.8505, 0.8091, 0.4884).